No. 1
A plane-wave DFT calculation with PBE+U was carried out for a relaxed structure of MoPdAuF2.

Summary:
Electronic total energy = -20.4 eV/cell
Symmetry = P4/mmm, No. 123

Unit cell a=4.0924 b=4.0924 c=5.7210 alpha=90.00 beta=90.00 gamma=90.00
Element x y z (fractional)
1 Mo 0.0000 0.0000 0.0000
2 Pd 0.0000 0.0000 0.5000
3 Au 0.5000 0.5000 0.0000
4 F 0.0000 0.5000 0.5000
5 F 0.5000 0.0000 0.5000

No. 2
A plane-wave DFT calculation with PBE+U was carried out for a relaxed structure of Mo2PdAuF.

Summary:
Electronic total energy = -19.7 eV/cell
Symmetry = P4/mmm, No. 123

Unit cell a=5.2393 b=5.2393 c=5.0109 alpha=90.00 beta=90.00 gamma=90.00
Element x y z (fractional)
1 Mo 0.0000 0.5000 0.0000
2 Mo 0.5000 0.0000 0.0000
3 Pd 0.0000 0.0000 0.0000
4 Au 0.0000 0.0000 0.5000
5 F 0.5000 0.5000 0.5000

No. 3
A plane-wave DFT calculation with PBE+U was carried out for a relaxed structure of MoPtAu2F.

Summary:
Electronic total energy = -15.4 eV/cell
Symmetry = P4/mmm, No. 123

Unit cell a=5.2833 b=5.2833 c=4.8650 alpha=90.00 beta=90.00 gamma=90.00
Element x y z (fractional)
1 Mo 0.0000 0.0000 0.0000
2 Pt 0.0000 0.0000 0.5000
3 Au 0.0000 0.5000 0.0000
4 Au 0.5000 0.0000 0.0000
5 F 0.5000 0.5000 0.5000

No. 4
A plane-wave DFT calculation with PBE+U was carried out for a relaxed structure of Rb2MoAuF6.

Summary:
Electronic total energy = -45.7 eV/cell
Symmetry = I4/mmm, No. 139

Unit cell a=6.4515 b=6.4515 c=6.4515 alpha=115.42 beta=115.42 gamma=98.13
Element x y z (fractional)
1 Rb 0.2500 0.7500 0.5000
2 Rb 0.7500 0.2500 0.5000
3 Mo 0.0000 0.0000 0.0000
4 Au 0.5000 0.5000 0.0000
5 F 0.2135 0.2135 0.4269
6 F 0.2135 0.7865 0.0000
7 F 0.2510 0.2510 0.0000
8 F 0.7490 0.7490 0.0000
9 F 0.7865 0.2135 0.0000
10 F 0.7865 0.7865 0.5731

No. 5
A plane-wave DFT calculation with PBE+U was carried out for a relaxed structure of TlMoAuF2.

Summary:
Electronic total energy = -16.8 eV/cell
Symmetry = P4/mmm, No. 123

Unit cell a=4.3851 b=4.3851 c=5.9041 alpha=90.00 beta=90.00 gamma=90.00
Element x y z (fractional)
1 Tl 0.0000 0.0000 0.0000
2 Mo 0.5000 0.5000 0.0000
3 Au 0.0000 0.0000 0.5000
4 F 0.0000 0.5000 0.5000
5 F 0.5000 0.0000 0.5000

No. 6
A plane-wave DFT calculation with PBE+U was carried out for a relaxed structure of Y2MoAuF.

Summary:
Electronic total energy = -24.9 eV/cell
Symmetry = P4/mmm, No. 123

Unit cell a=5.4844 b=5.4844 c=5.4372 alpha=90.00 beta=90.00 gamma=90.00
Element x y z (fractional)
1 Y 0.0000 0.5000 0.0000
2 Y 0.5000 0.0000 0.0000
3 Mo 0.0000 0.0000 0.5000
4 Au 0.0000 0.0000 0.0000
5 F 0.5000 0.5000 0.5000

Number 1: total magnetic moment 4.16 Bohr magnetons per cell. Number 2: total magnetic moment 8.86 Bohr magnetons per cell. Number 3: total magnetic moment 3.66 Bohr magnetons per cell. Number 4: total magnetic moment 2.98 Bohr magnetons per cell. Number 5: total magnetic moment 4.84 Bohr magnetons per cell. Number 6: total magnetic moment 4.59 Bohr magnetons per cell.